DFT (PBE) results for crystalline AcNiHg at its relaxed geometry.

Unit cell a=6.293 b=6.293 c=6.842 alpha=90.00 beta=90.00 gamma=120.00
Positions (direct):
Ac (0.000, 0.636, 0.000)
Ac (0.364, 0.364, 0.667)
Ac (0.636, 0.000, 0.333)
Ni (0.000, 0.101, 0.000)
Ni (0.101, 0.000, 0.333)
Ni (0.899, 0.899, 0.666)
Hg (0.001, 0.582, 0.500)
Hg (0.418, 0.419, 0.167)
Hg (0.581, 0.999, 0.833)

The space group is P3_2, No. 145. Its total moment is 0.0 μB/f.u. As for the formation energy from the elements: -0.248 eV/atom. The calculation puts the energy above the most stable polymorph in this dataset at 0.43 eV/f.u. The calculation puts the energy at -3.65 eV per atom.

=====

DFT (PBE) results for crystalline NbAlB3 at its relaxed geometry.

Unit cell a=3.941 b=3.941 c=3.941 alpha=90.00 beta=90.00 gamma=90.00
Positions (direct):
Nb (0.000, 0.000, 0.000)
Al (0.500, 0.500, 0.500)
B (0.000, 0.500, 0.500)
B (0.500, 0.000, 0.500)
B (0.500, 0.500, 0.000)

The space group is Pm-3m, No. 221. Its total moment is 0.0 μB/f.u. As for the formation energy from the elements: 1.533 eV/atom. The calculation puts the energy at -5.24 eV per atom.